Compound: Ga2GeMo
Source: OQMD via LeMat-Bulk
Functional: PBE
Structure: optimized geometry

Calculated values
**VASP energy**: -4.945 eV/atom
**Crystal system**: cubic

Lattice parameters (Å, degrees): 6.410 6.410 6.410 90.00 90.00 90.00
Fractional positions:
Ga1 0.000 0.000 0.000
Ga2 0.000 0.500 0.500
Ga3 0.250 0.250 0.250
Ga4 0.250 0.750 0.750
Ga5 0.500 0.000 0.500
Ga6 0.500 0.500 0.000
Ga7 0.750 0.250 0.750
Ga8 0.750 0.750 0.250
Ge1 0.250 0.250 0.750
Ge2 0.250 0.750 0.250
Ge3 0.750 0.250 0.250
Ge4 0.750 0.750 0.750
Mo1 0.000 0.000 0.500
Mo2 0.000 0.500 0.000
Mo3 0.500 0.000 0.000
Mo4 0.500 0.500 0.500



Compound: HoAlO3
Source: OQMD via LeMat-Bulk
Functional: PBE
Structure: optimized geometry

Calculated values
**VASP energy**: -7.821 eV/atom
**Crystal system**: trigonal

Lattice parameters (Å, degrees): 5.641 5.641 5.641 54.90 54.90 54.90
Fractional positions:
Ho1 0.132 0.132 0.132
Ho2 0.868 0.868 0.868
Al1 0.345 0.345 0.345
Al2 0.655 0.655 0.655
O1 0.060 0.468 0.698
O2 0.302 0.940 0.532
O3 0.468 0.698 0.060
O4 0.532 0.302 0.940
O5 0.698 0.060 0.468
O6 0.940 0.532 0.302



Compound: GaFeAgMo
Source: OQMD via LeMat-Bulk
Functional: PBE
Structure: optimized geometry

Calculated values
**Distance to the lowest polymorph of the same formula**: 0.000 eV per formula unit
**Crystal system**: cubic

Lattice parameters (Å, degrees): 6.211 6.211 6.211 90.00 90.00 90.00
Fractional positions:
Ga1 0.000 0.000 0.000
Ga2 0.000 0.500 0.500
Ga3 0.500 0.000 0.500
Ga4 0.500 0.500 0.000
Fe1 0.250 0.250 0.250
Fe2 0.250 0.750 0.750
Fe3 0.750 0.250 0.750
Fe4 0.750 0.750 0.250
Ag1 0.250 0.250 0.750
Ag2 0.250 0.750 0.250
Ag3 0.750 0.250 0.250
Ag4 0.750 0.750 0.750
Mo1 0.000 0.000 0.500
Mo2 0.000 0.500 0.000
Mo3 0.500 0.000 0.000
Mo4 0.500 0.500 0.500



Compound: Na2Au2SeS
Source: OQMD via LeMat-Bulk
Functional: PBE
Structure: optimized geometry

Calculated values
**VASP energy**: -3.439 eV/atom
**Crystal system**: orthorhombic

Lattice parameters (Å, degrees): 7.277 5.667 7.273 90.00 90.00 90.00
Fractional positions:
Na1 0.000 0.000 0.000
Na2 0.000 0.500 0.500
Na3 0.500 0.000 0.267
Na4 0.500 0.500 0.767
Au1 0.256 0.000 0.637
Au2 0.256 0.500 0.137
Au3 0.744 0.000 0.637
Au4 0.744 0.500 0.137
Se1 0.000 0.000 0.418
Se2 0.000 0.500 0.918
S1 0.500 0.000 0.845
S2 0.500 0.500 0.345



Compound: Gd2I
Source: OQMD via LeMat-Bulk
Functional: PBE
Structure: optimized geometry

Calculated values
**Distance to the lowest polymorph of the same formula**: 0.000 eV per formula unit
**Crystal system**: tetragonal

Lattice parameters (Å, degrees): 7.028 7.028 4.314 90.00 90.00 90.00
Fractional positions:
Gd1 0.206 0.206 0.000
Gd2 0.294 0.706 0.500
Gd3 0.706 0.294 0.500
Gd4 0.794 0.794 0.000
I1 0.000 0.000 0.500
I2 0.500 0.500 0.000



Compound: Ho2TmNiGe3Ir2
Source: OQMD via LeMat-Bulk
Functional: PBE
Structure: optimized geometry

Calculated values
**VASP energy**: -6.457 eV/atom
**Crystal system**: orthorhombic

Lattice parameters (Å, degrees): 3.836 7.023 7.023 119.71 90.00 90.00
Fractional positions:
Ho1 0.000 0.200 0.800
Ho2 0.000 0.800 0.200
Tm1 0.000 0.400 0.400
Ni1 0.000 0.798 0.798
Ge1 0.500 0.050 0.050
Ge2 0.500 0.549 0.799
Ge3 0.500 0.799 0.549
Ir1 0.500 0.135 0.465
Ir2 0.500 0.465 0.135



For reference, theoretical density by record: 7.77; 7.13; 9.13; 6.10; 6.88; 11.72 Mg/m³.